Model i:
Entry from the Alexandria database: a geometry-optimized MnV3S structure (GGA-PBE).

a = 4.2925 Å, b = 4.2925 Å, c = 4.2925 Å
α = 90.00°, β = 90.00°, γ = 90.00°
Sites, in units of the cell vectors:
1 Mn 0.0000 0.0000 0.0000
2 V 0.0000 0.5000 0.5000
3 V 0.5000 0.0000 0.5000
4 V 0.5000 0.5000 0.0000
5 S 0.5000 0.5000 0.5000

---

Model ii:
Entry from the Alexandria database: a geometry-optimized MnV3S structure (GGA-PBE).

a = 4.3197 Å, b = 4.3197 Å, c = 4.3197 Å
α = 90.00°, β = 90.00°, γ = 90.00°
Sites, in units of the cell vectors:
1 Mn 0.0000 0.0000 0.0000
2 V 0.0000 0.0000 0.5000
3 V 0.0000 0.5000 0.0000
4 V 0.5000 0.0000 0.0000
5 S 0.5000 0.5000 0.5000

---

Energetically preferred structure: model i | next structure: +0.655 eV/atom

---

Model i:
Entry from the Alexandria database: a geometry-optimized MnVS structure (GGA-PBE).

a = 3.0758 Å, b = 3.0758 Å, c = 8.9204 Å
α = 90.00°, β = 90.00°, γ = 90.00°
Sites, in units of the cell vectors:
1 Mn 0.2500 0.2500 0.0560
2 Mn 0.7500 0.7500 0.9440
3 V 0.2500 0.2500 0.7786
4 V 0.7500 0.7500 0.2214
5 S 0.2500 0.2500 0.3307
6 S 0.7500 0.7500 0.6693

---

Model ii:
Entry from the Alexandria database: a geometry-optimized MnVS structure (GGA-PBE).

a = 6.0234 Å, b = 6.0234 Å, c = 6.0234 Å
α = 150.77°, β = 150.77°, γ = 41.82°
Sites, in units of the cell vectors:
1 Mn 0.0000 0.0000 0.0000
2 V 0.8008 0.8008 0.0000
3 S 0.2149 0.2149 0.0000

---

Energetically preferred structure: model i | next structure: +0.493 eV/atom